The following is a DFT calculation (PBE+U) of CrPtO3 after structural relaxation.

Summary:
* space-group type: Pm-3m
* N(E_F): 1.41 states/eV per atom
* DFT total energy: -5.6925 eV/atom

Cell lengths 3.725, 3.725, 3.725 Å; angles 90.00, 90.00, 90.00 degrees
Atoms (fractional coordinates):
1 Cr 0.000 0.000 0.000
2 Pt 0.500 0.500 0.500
3 O 0.000 0.000 0.500
4 O 0.000 0.500 0.000
5 O 0.500 0.000 0.000